# 1
GaNi | PBE-GGA | relaxed

M_tot (μB/atom): 0.000
ΔH_f (0 K) (meV/atom): -280
D(E_F) (states/eV/cell): 8.81

The structure in CIF format:
```
data_GaNi
_cell_length_a 7.3910
_cell_length_b 7.3910
_cell_length_c 4.0377
_cell_angle_alpha 90.00
_cell_angle_beta 90.00
_cell_angle_gamma 90.00
_space_group_name_H-M_alt 'I 4/m m m'
_space_group_IT_number 139
_space_group_name_Hall '-I 4 2'
loop_
_atom_site_label
_atom_site_fract_x
_atom_site_fract_y
_atom_site_fract_z
Ga1 0.0000 0.2710 0.0000
Ni1 0.1722 0.1722 0.5000
```

# 2
Dy4Al3Tl | PBE-GGA | relaxed

M_tot (μB/atom): 0.000
Polymorph energy (0 for the lowest one) (eV per formula unit): 0.25
ΔH_f (0 K) (meV/atom): -352
D(E_F) (states/eV/cell): 7.62

The structure in CIF format:
```
data_Dy4Al3Tl
_cell_length_a 4.1793
_cell_length_b 4.4771
_cell_length_c 11.2166
_cell_angle_alpha 90.00
_cell_angle_beta 90.00
_cell_angle_gamma 90.00
_space_group_name_H-M_alt 'P m m 2'
_space_group_IT_number 25
loop_
_space_group_symop_operation_xyz
'x,y,z'
'-x,-y,z'
'-x,y,z'
'x,-y,z'
loop_
_atom_site_label
_atom_site_fract_x
_atom_site_fract_y
_atom_site_fract_z
Dy1 0.0000 0.0000 0.0000
Dy2 0.0000 0.5000 0.4876
Dy3 0.5000 0.0000 0.7131
Dy4 0.5000 0.5000 0.2165
Al1 0.0000 0.0000 0.2816
Al2 0.5000 0.0000 0.4284
Al3 0.5000 0.5000 0.9374
Tl1 0.0000 0.5000 0.7718
```